Below is an optimized crystal structure of Si3AsOs, with properties calculated at the PBEsol level.

Calculated values
Crystal system: cubic
V (Å³/atom): 18.3
Energy relative to the elements, uncorrected (eV per atom): 1.69
Total magnetization (μB per formula unit): 0.865
Mass density (Mg/m³): 6.34

Cell: 4.507 4.507 4.507 Å, 90.00 90.00 90.00°
Element x y z (fractional)
Si 0.000 0.500 0.000
Si 0.500 0.000 0.000
Si 0.000 0.000 0.500
Os 0.500 0.500 0.500
As 0.000 0.000 0.000